An optimized crystal structure of NdN2. Source: OQMD, functional PBE-GGA.

Values from the calculation:
Calculated total energy ... -7.58 eV/atom

Cell: 3.8078 3.8078 13.4117 Å, 90.00 90.00 70.13°
Closest atoms and distances in Å follow each position.
Element x y z (fractional)
Nd (0.0903, 0.9097, 0.6439)  5 N 2.37-2.61
N (0.4069, 0.0931, 0.2500)  2 N 2.19, 4 Nd 2.37-2.38
N (0.5931, 0.9069, 0.7500)  2 N 2.19, 4 Nd 2.37-2.38
Nd (0.5903, 0.4097, 0.8561)  5 N 2.37-2.61
N (0.6060, 0.3940, 0.5302)  1 N 1.23
N (0.8940, 0.1060, 0.0302)  1 N 1.23
N (0.0931, 0.4069, 0.7500)  2 N 2.19, 4 Nd 2.37-2.38
Nd (0.4097, 0.5903, 0.1439)  5 N 2.37-2.61
N (0.9069, 0.5931, 0.2500)  2 N 2.19, 4 Nd 2.37-2.38
N (0.3940, 0.6060, 0.4698)  1 N 1.23
N (0.1060, 0.8940, 0.9698)  1 N 1.23
Nd (0.9097, 0.0903, 0.3561)  5 N 2.37-2.61